NaCoF2: optimized geometry, GGA+U.

The symmetry is I-42d. The relative energy among the computed polymorphs is 160 meV per atom.

Unit cell a=4.8068 b=4.8068 c=6.4644 alpha=68.17 beta=68.17 gamma=90.00
Closest atoms and distances in Å follow each position.
Fractional coordinates of all 8 atoms:
F  0.6581  0.1250  0.2500  2 Co 2.10, 2 Na 2.28
Co  0.0000  0.0000  0.0000  4 F 2.10
F  0.3750  0.3419  0.7500  2 Co 2.10, 2 Na 2.28
Na  0.5000  0.5000  0.0000  4 F 2.28
Co  0.7500  0.2500  0.5000  4 F 2.10
F  0.8750  0.9081  0.7500  2 Co 2.10, 2 Na 2.28
Na  0.2500  0.7500  0.5000  4 F 2.28
F  0.0919  0.6250  0.2500  2 Co 2.10, 2 Na 2.28